# 1
# Cs3UPa2N6

Cs3UPa2N6 after structural relaxation (PBE, the Alexandria database).

Results
Its symmetry is C2/m (12). The total energy is -95.15 eV per cell. The value obtained for the formation energy (no corrections) is -1.029 eV/atom. As for the mass density: 8.11 Mg/m³.

Cell lengths 6.272, 6.272, 7.411 Å; angles 98.10, 98.10, 120.00 degrees
Fractional coordinates of all 12 atoms:
Cs  0.000  0.000  0.000
Cs  0.333  0.667  0.000
Cs  0.667  0.333  0.000
U  0.500  0.500  0.500
Pa  0.167  0.833  0.500
Pa  0.833  0.167  0.500
N  0.126  0.453  0.360
N  0.219  0.219  0.640
N  0.453  0.126  0.360
N  0.547  0.874  0.640
N  0.781  0.781  0.360
N  0.874  0.547  0.640

***

# 2
# Cs3UPa3N8

Cs3UPa3N8 after structural relaxation (PBE, the Alexandria database).

Results
Its symmetry is R-3m (166). The total energy is -126.52 eV per cell. The value obtained for the formation energy (no corrections) is -1.172 eV/atom. As for the mass density: 7.48 Mg/m³.

Cell lengths 8.273, 8.273, 8.273 Å; angles 51.48, 51.48, 51.48 degrees
Fractional coordinates of all 15 atoms:
Cs  0.000  0.500  0.500
Cs  0.500  0.000  0.500
Cs  0.500  0.500  0.000
U  0.500  0.500  0.500
Pa  0.000  0.000  0.500
Pa  0.000  0.500  0.000
Pa  0.500  0.000  0.000
N  0.213  0.213  0.213
N  0.225  0.706  0.706
N  0.294  0.294  0.775
N  0.294  0.775  0.294
N  0.706  0.225  0.706
N  0.706  0.706  0.225
N  0.775  0.294  0.294
N  0.787  0.787  0.787

***

# 3
# Cs4UPa3N8

Cs4UPa3N8 after structural relaxation (PBE, the Alexandria database).

Results
Its symmetry is C2/m (12). The total energy is -126.57 eV per cell. The value obtained for the formation energy (no corrections) is -1.048 eV/atom. As for the mass density: 8.07 Mg/m³.

Cell lengths 7.249, 7.249, 8.259 Å; angles 116.08, 116.08, 60.04 degrees
Fractional coordinates of all 16 atoms:
Cs  0.000  0.000  0.000
Cs  0.000  0.500  0.000
Cs  0.500  0.000  0.000
Cs  0.500  0.500  0.000
U  0.000  0.000  0.500
Pa  0.000  0.500  0.500
Pa  0.500  0.000  0.500
Pa  0.500  0.500  0.500
N  0.210  0.210  0.640
N  0.210  0.720  0.640
N  0.280  0.790  0.360
N  0.287  0.287  0.361
N  0.713  0.713  0.639
N  0.720  0.210  0.640
N  0.790  0.280  0.360
N  0.790  0.790  0.360

***

# 4
# Cs2U2PaN7

Cs2U2PaN7 after structural relaxation (PBE, the Alexandria database).

Results
Its symmetry is C2/m (12). The total energy is -100.76 eV per cell. The value obtained for the formation energy (no corrections) is -0.725 eV/atom. As for the mass density: 7.75 Mg/m³.

Cell lengths 4.223, 4.223, 13.193 Å; angles 98.73, 98.73, 92.06 degrees
Fractional coordinates of all 12 atoms:
Cs  0.196  0.196  0.388
Cs  0.804  0.804  0.612
U  0.393  0.393  0.832
U  0.607  0.607  0.168
Pa  0.000  0.000  0.000
N  0.077  0.630  0.116
N  0.345  0.345  0.684
N  0.370  0.923  0.884
N  0.500  0.500  0.000
N  0.630  0.077  0.116
N  0.655  0.655  0.316
N  0.923  0.370  0.884